Computed, not measured: crystalline Pr8Y3Tm2 at its relaxed geometry at the PBE level of DFT.

Cell lengths 5.797, 7.793, 10.947 Å; angles 110.88, 90.00, 90.00 degrees
Element x y z (fractional)
Pr 0.000 0.675 0.349
Pr 0.000 0.325 0.651
Pr 0.000 0.132 0.264
Pr 0.000 0.868 0.736
Pr 0.500 0.597 0.786
Pr 0.500 0.189 0.786
Pr 0.500 0.811 0.214
Pr 0.500 0.403 0.214
Y 0.500 0.000 0.000
Y 0.000 0.285 0.000
Y 0.000 0.715 0.000
Tm 0.500 0.240 0.479
Tm 0.500 0.760 0.521

Energy of formation from the pure elements   0.196 eV/atom
N(E_F)   17.71 states/eV/f.u.

=====

Computed, not measured: crystalline Pr2Y5Tm12 at its relaxed geometry at the PBE level of DFT.

Cell lengths 9.133, 12.316, 8.453 Å; angles 132.16, 90.00, 111.76 degrees
Element x y z (fractional)
Pr 0.689 0.000 0.000
Pr 0.311 0.000 0.000
Y 0.303 0.605 0.610
Y 0.235 0.470 0.892
Y 0.000 0.000 0.500
Y 0.765 0.530 0.108
Y 0.697 0.395 0.390
Tm 0.095 0.191 0.306
Tm 0.024 0.685 0.934
Tm 0.661 0.685 0.934
Tm 0.181 0.747 0.397
Tm 0.566 0.747 0.397
Tm 0.555 0.109 0.781
Tm 0.445 0.891 0.219
Tm 0.819 0.253 0.603
Tm 0.434 0.253 0.603
Tm 0.976 0.315 0.066
Tm 0.339 0.315 0.066
Tm 0.905 0.809 0.694

Offset from the most stable computed form   102 meV/atom
Energy of formation from the pure elements   0.131 eV/atom
N(E_F)   27.56 states/eV/f.u.

=====

Computed, not measured: crystalline PrYTm2 at its relaxed geometry at the PBE level of DFT.

Cell lengths 3.573, 3.573, 11.762 Å; angles 81.26, 81.26, 60.00 degrees
Element x y z (fractional)
Pr 0.000 0.000 0.000
Y 0.500 0.500 0.500
Tm 0.751 0.751 0.747
Tm 0.249 0.249 0.253

Offset from the most stable computed form   20 meV/atom
Energy of formation from the pure elements   0.028 eV/atom
N(E_F)   5.71 states/eV/f.u.